Computed, not measured: La4Dy5Mg after structural relaxation at the PBE level of DFT. Values from VASP.

Output
The value obtained for the energy of formation is 0.006 eV/atom. The total energy comes out at -4.425 eV/atom. As for the space group: P4/mmm.

The structure in Quantum ESPRESSO input format:
```
&SYSTEM
  ibrav = 0, nat = 10, ntyp = 3
/
ATOMIC_SPECIES
La 138.91 La.upf
Dy 162.50 Dy.upf
Mg 24.30 Mg.upf
ATOMIC_POSITIONS crystal
La 0.000 0.000 0.104
La 0.000 0.000 0.314
La 0.000 0.000 0.686
La 0.000 0.000 0.896
Dy 0.500 0.500 0.000
Dy 0.500 0.500 0.209
Dy 0.500 0.500 0.417
Dy 0.500 0.500 0.583
Dy 0.500 0.500 0.791
Mg 0.000 0.000 0.500
CELL_PARAMETERS angstrom
3.694 0.000 0.000
0.000 3.694 0.000
0.000 0.000 24.088
```